Material: InOsRh2
Method: DFT, PBE
State: relaxed

The calculation puts the formation enthalpy at 0 K at 0.0371 eV per atom. The value obtained for the magnetization is 0.0 μB per cell.

The space group is Pmmm (No. 47) and the conventional cell measures 2.846, 3.827 and 5.730 Å, with angles of 90.00, 90.00 and 90.00 degrees. Symmetry generates all atoms from In at (0.000, 0.000, 0.000), Os at (0.000, 0.000, 0.500) and Rh at (0.500, 0.500, 0.270).